# Th2AlGa4Au3

Crystalline Th2AlGa4Au3 at its relaxed geometry (GGA-PBE, Alexandria via LeMat-Bulk).

Properties
The density of states at the Fermi level comes out at 4.52 states/eV per cell. The calculation puts the formation energy at -0.5815 eV per atom.

CIF file:
```
data_Th2AlGa4Au3
_chemical_formula_sum 'Th2 Al1 Ga4 Au3'
_cell_length_a 4.278
_cell_length_b 4.278
_cell_length_c 11.144
_cell_angle_alpha 90.00
_cell_angle_beta 90.00
_cell_angle_gamma 90.00
_symmetry_space_group_name_H-M 'P -4 m 2'
_symmetry_Int_Tables_number 115
loop_
_symmetry_equiv_pos_as_xyz
'x,y,z'
'y,-x,-z'
'-x,-y,z'
'-y,x,-z'
'-x,y,z'
'-y,-x,-z'
'x,-y,z'
'y,x,-z'
loop_
_atom_site_label
_atom_site_type_symbol
_atom_site_fract_x
_atom_site_fract_y
_atom_site_fract_z
_atom_site_occupancy
Th1 Th 0.000 0.500 0.246 1
Al1 Al 0.500 0.500 0.000 1
Ga1 Ga 0.000 0.000 0.500 1
Ga2 Ga 0.000 0.500 0.863 1
Ga3 Ga 0.500 0.500 0.500 1
Au1 Au 0.000 0.000 0.000 1
Au2 Au 0.000 0.500 0.639 1
```

# RePPb

Crystalline RePPb at its relaxed geometry (GGA-PBE, Alexandria via LeMat-Bulk).

Properties
The density of states at the Fermi level comes out at 5.76 states/eV per cell. The calculation puts the formation energy at 0.0796 eV per atom. The calculation puts the energy above the lowest structure with this stoichiometry at 81 meV per atom.

CIF file:
```
data_RePPb
_chemical_formula_sum 'Re4 P4 Pb4'
_cell_length_a 8.212
_cell_length_b 3.096
_cell_length_c 10.410
_cell_angle_alpha 90.00
_cell_angle_beta 106.51
_cell_angle_gamma 90.00
_symmetry_space_group_name_H-M 'C 1 m 1'
_symmetry_Int_Tables_number 8
loop_
_symmetry_equiv_pos_as_xyz
'x,y,z'
'x,-y,z'
'x+1/2,y+1/2,z'
'x+1/2,-y+1/2,z'
loop_
_atom_site_label
_atom_site_type_symbol
_atom_site_fract_x
_atom_site_fract_y
_atom_site_fract_z
_atom_site_occupancy
Re1 Re 0.000 0.000 0.000 1
Re2 Re 0.152 0.500 0.820 1
P1 P 0.297 0.000 0.039 1
P2 P 0.364 0.000 0.805 1
Pb1 Pb 0.135 0.000 0.294 1
Pb2 Pb 0.477 0.500 0.566 1
```

# TaZn2IrS

Crystalline TaZn2IrS at its relaxed geometry (GGA-PBE, Alexandria via LeMat-Bulk).

Properties
For the formation energy without anion corrections, the calculation gives 7.03 eV/f.u. The density of states at the Fermi level comes out at 3.89 states/eV per cell.

CIF file:
```
data_TaZn2IrS
_chemical_formula_sum 'Ta1 Zn2 Ir1 S1'
_cell_length_a 5.094
_cell_length_b 5.094
_cell_length_c 4.731
_cell_angle_alpha 90.00
_cell_angle_beta 90.00
_cell_angle_gamma 90.00
_symmetry_space_group_name_H-M 'P 4/m m m'
_symmetry_Int_Tables_number 123
_symmetry_space_group_name_Hall '-P 4 2'
loop_
_atom_site_label
_atom_site_type_symbol
_atom_site_fract_x
_atom_site_fract_y
_atom_site_fract_z
_atom_site_occupancy
Ta1 Ta 0.000 0.000 0.000 1
Zn1 Zn 0.000 0.500 0.000 1
Ir1 Ir 0.000 0.000 0.500 1
S1 S 0.500 0.500 0.500 1
```

# Tl2CuBr4

Crystalline Tl2CuBr4 at its relaxed geometry (GGA-PBE, Alexandria via LeMat-Bulk).

Properties
For the formation energy without anion corrections, the calculation gives -4.08 eV/f.u. The density of states at the Fermi level comes out at 7.68 states/eV per cell.

CIF file:
```
data_Tl2CuBr4
_chemical_formula_sum 'Tl4 Cu2 Br8'
_cell_length_a 5.251
_cell_length_b 5.251
_cell_length_c 16.114
_cell_angle_alpha 90.00
_cell_angle_beta 90.00
_cell_angle_gamma 90.00
_symmetry_space_group_name_H-M 'I 4/m m m'
_symmetry_Int_Tables_number 139
_symmetry_space_group_name_Hall '-I 4 2'
loop_
_atom_site_label
_atom_site_type_symbol
_atom_site_fract_x
_atom_site_fract_y
_atom_site_fract_z
_atom_site_occupancy
Tl1 Tl 0.000 0.000 0.138 1
Cu1 Cu 0.000 0.000 0.500 1
Br1 Br 0.000 0.000 0.344 1
Br2 Br 0.000 0.500 0.000 1
```

# Re2AsPt

Crystalline Re2AsPt at its relaxed geometry (GGA-PBE, Alexandria via LeMat-Bulk).

Properties
The density of states at the Fermi level comes out at 2.85 states/eV per cell. The calculation puts the formation energy at 0.2998 eV per atom.

CIF file:
```
data_Re2AsPt
_chemical_formula_sum 'Re2 As1 Pt1'
_cell_length_a 4.512
_cell_length_b 4.512
_cell_length_c 2.961
_cell_angle_alpha 90.00
_cell_angle_beta 90.00
_cell_angle_gamma 90.00
_symmetry_space_group_name_H-M 'P 4/m m m'
_symmetry_Int_Tables_number 123
_symmetry_space_group_name_Hall '-P 4 2'
loop_
_atom_site_label
_atom_site_type_symbol
_atom_site_fract_x
_atom_site_fract_y
_atom_site_fract_z
_atom_site_occupancy
Re1 Re 0.000 0.500 0.000 1
As1 As 0.000 0.000 0.500 1
Pt1 Pt 0.500 0.500 0.500 1
```

# La12ScCo7

Crystalline La12ScCo7 at its relaxed geometry (GGA-PBE, Alexandria via LeMat-Bulk).

Properties
The density of states at the Fermi level comes out at 52.35 states/eV per cell. The calculation puts the formation energy at -0.1063 eV per atom.

CIF file:
```
data_La12ScCo7
_chemical_formula_sum 'La36 Sc3 Co21'
_cell_length_a 14.6769
_cell_length_b 14.6769
_cell_length_c 8.9559
_cell_angle_alpha 90.00
_cell_angle_beta 90.00
_cell_angle_gamma 120.00
_symmetry_space_group_name_H-M 'R -3'
_symmetry_Int_Tables_number 148
_symmetry_space_group_name_Hall '-R 3'
loop_
_atom_site_label
_atom_site_type_symbol
_atom_site_fract_x
_atom_site_fract_y
_atom_site_fract_z
_atom_site_occupancy
La1 La 0.0003 0.4299 0.3340 1
La2 La 0.0449 0.1647 0.2938 1
Sc1 Sc 0.0000 0.0000 0.0000 1
Co1 Co 0.0000 0.0000 0.5000 1
Co2 Co 0.0464 0.1843 0.9032 1
```

# Li4NdSc

Crystalline Li4NdSc at its relaxed geometry (GGA-PBE, Alexandria via LeMat-Bulk).

Properties
The density of states at the Fermi level comes out at 24.91 states/eV per cell. The calculation puts the formation energy at 0.1345 eV per atom.

CIF file:
```
data_Li4NdSc
_chemical_formula_sum 'Li16 Nd4 Sc4'
_cell_length_a 8.148
_cell_length_b 8.148
_cell_length_c 8.148
_cell_angle_alpha 90.00
_cell_angle_beta 90.00
_cell_angle_gamma 90.00
_symmetry_space_group_name_H-M 'F -4 3 m'
_symmetry_Int_Tables_number 216
_symmetry_space_group_name_Hall 'F -4 2 3'
loop_
_atom_site_label
_atom_site_type_symbol
_atom_site_fract_x
_atom_site_fract_y
_atom_site_fract_z
_atom_site_occupancy
Li1 Li 0.124 0.124 0.376 1
Nd1 Nd 0.000 0.000 0.000 1
Sc1 Sc 0.250 0.250 0.750 1
```

# KI2O6

Crystalline KI2O6 at its relaxed geometry (GGA-PBE, Alexandria via LeMat-Bulk).

Properties
For the formation energy without anion corrections, the calculation gives -4.61 eV/f.u. The density of states at the Fermi level comes out at 93.06 states/eV per cell. The calculation puts the energy above the lowest structure with this stoichiometry at 35 meV per atom.

CIF file:
```
data_KI2O6
_chemical_formula_sum 'K24 I48 O144'
_cell_length_a 8.114
_cell_length_b 41.083
_cell_length_c 11.592
_cell_angle_alpha 90.00
_cell_angle_beta 90.00
_cell_angle_gamma 90.00
_symmetry_space_group_name_H-M 'F d d 2'
_symmetry_Int_Tables_number 43
_symmetry_space_group_name_Hall 'F 2 -2d'
loop_
_atom_site_label
_atom_site_type_symbol
_atom_site_fract_x
_atom_site_fract_y
_atom_site_fract_z
_atom_site_occupancy
K1 K 0.000 0.000 0.000 1
K2 K 0.006 0.100 0.001 1
I1 I 0.011 0.300 0.511 1
I2 I 0.014 0.300 0.990 1
I3 I 0.031 0.089 0.508 1
O1 O 0.018 0.168 0.903 1
O2 O 0.023 0.235 0.907 1
O3 O 0.026 0.239 0.579 1
O4 O 0.028 0.173 0.610 1
O5 O 0.056 0.450 0.330 1
O6 O 0.061 0.349 0.648 1
O7 O 0.064 0.045 0.514 1
O8 O 0.066 0.449 0.663 1
O9 O 0.095 0.349 0.890 1
```

# NdTmMgBi

Crystalline NdTmMgBi at its relaxed geometry (GGA-PBE, Alexandria via LeMat-Bulk).

Properties
The density of states at the Fermi level comes out at 18.39 states/eV per cell. The calculation puts the formation energy at -0.2996 eV per atom.

CIF file:
```
data_NdTmMgBi
_chemical_formula_sum 'Nd4 Tm4 Mg4 Bi4'
_cell_length_a 7.734
_cell_length_b 7.734
_cell_length_c 7.734
_cell_angle_alpha 90.00
_cell_angle_beta 90.00
_cell_angle_gamma 90.00
_symmetry_space_group_name_H-M 'F -4 3 m'
_symmetry_Int_Tables_number 216
_symmetry_space_group_name_Hall 'F -4 2 3'
loop_
_atom_site_label
_atom_site_type_symbol
_atom_site_fract_x
_atom_site_fract_y
_atom_site_fract_z
_atom_site_occupancy
Nd1 Nd 0.000 0.000 0.000 1
Tm1 Tm 0.000 0.000 0.500 1
Mg1 Mg 0.250 0.250 0.250 1
Bi1 Bi 0.250 0.250 0.750 1
```

# Tb4Ho3Ag

Crystalline Tb4Ho3Ag at its relaxed geometry (GGA-PBE, Alexandria via LeMat-Bulk).

Properties
The density of states at the Fermi level comes out at 10.03 states/eV per cell. The calculation puts the formation energy at -0.0543 eV per atom.

CIF file:
```
data_Tb4Ho3Ag
_chemical_formula_sum 'Tb4 Ho3 Ag1'
_cell_length_a 3.547
_cell_length_b 3.547
_cell_length_c 18.952
_cell_angle_alpha 90.00
_cell_angle_beta 90.00
_cell_angle_gamma 90.00
_symmetry_space_group_name_H-M 'P 4/m m m'
_symmetry_Int_Tables_number 123
_symmetry_space_group_name_Hall '-P 4 2'
loop_
_atom_site_label
_atom_site_type_symbol
_atom_site_fract_x
_atom_site_fract_y
_atom_site_fract_z
_atom_site_occupancy
Tb1 Tb 0.000 0.000 0.102 1
Tb2 Tb 0.000 0.000 0.368 1
Ho1 Ho 0.500 0.500 0.237 1
Ho2 Ho 0.500 0.500 0.500 1
Ag1 Ag 0.500 0.500 0.000 1
```

# Li5Ga4Pb

Crystalline Li5Ga4Pb at its relaxed geometry (GGA-PBE, Alexandria via LeMat-Bulk).

Properties
The density of states at the Fermi level comes out at 2.20 states/eV per cell. The calculation puts the formation energy at -0.2553 eV per atom.

CIF file:
```
data_Li5Ga4Pb
_chemical_formula_sum 'Li5 Ga4 Pb1'
_cell_length_a 3.294
_cell_length_b 3.294
_cell_length_c 15.650
_cell_angle_alpha 90.00
_cell_angle_beta 90.00
_cell_angle_gamma 90.00
_symmetry_space_group_name_H-M 'P 4/m m m'
_symmetry_Int_Tables_number 123
_symmetry_space_group_name_Hall '-P 4 2'
loop_
_atom_site_label
_atom_site_type_symbol
_atom_site_fract_x
_atom_site_fract_y
_atom_site_fract_z
_atom_site_occupancy
Li1 Li 0.000 0.000 0.000 1
Li2 Li 0.000 0.000 0.186 1
Li3 Li 0.000 0.000 0.375 1
Ga1 Ga 0.500 0.500 0.093 1
Ga2 Ga 0.500 0.500 0.277 1
Pb1 Pb 0.500 0.500 0.500 1
```

# Mg3AlP

Crystalline Mg3AlP at its relaxed geometry (GGA-PBE, Alexandria via LeMat-Bulk).

Properties
The density of states at the Fermi level comes out at 2.57 states/eV per cell. The calculation puts the formation energy at 0.0513 eV per atom. The calculation puts the energy above the lowest structure with this stoichiometry at 0 meV per atom.

CIF file:
```
data_Mg3AlP
_chemical_formula_sum 'Mg3 Al1 P1'
_cell_length_a 4.889
_cell_length_b 4.889
_cell_length_c 4.889
_cell_angle_alpha 90.00
_cell_angle_beta 90.00
_cell_angle_gamma 90.00
_symmetry_space_group_name_H-M 'P m -3 m'
_symmetry_Int_Tables_number 221
_symmetry_space_group_name_Hall '-P 4 2 3'
loop_
_atom_site_label
_atom_site_type_symbol
_atom_site_fract_x
_atom_site_fract_y
_atom_site_fract_z
_atom_site_occupancy
Mg1 Mg 0.000 0.000 0.500 1
Al1 Al 0.500 0.500 0.500 1
P1 P 0.000 0.000 0.000 1
```